Entry 1:
The following is a PBE calculation of HgBrNO2 after structural relaxation, from Alexandria via LeMat-Bulk.

Cell: 4.331 4.331 4.351 Å, 90.00 90.00 90.00°
Positions (direct):
Hg  0.000  0.000  0.000
Br  0.500  0.500  0.500
O  0.500  0.000  0.000
O  0.000  0.500  0.000
N  0.000  0.000  0.500

Values from the calculation:
Formation energy (no corrections) (eV/atom): 1.56
Fermi-level density of states (states/eV/cell): 7.7

=====

Entry 2:
The following is a PBE calculation of Hg2PBrN after structural relaxation, from Alexandria via LeMat-Bulk.

Cell: 4.576 5.014 4.576 Å, 90.00 90.00 90.00°
Positions (direct):
Br  0.000  0.500  0.000
P  0.500  0.500  0.500
N  0.000  0.000  0.000
Hg  0.500  0.000  0.000
Hg  0.000  0.000  0.500

Values from the calculation:
Formation energy (no corrections) (eV/atom): 1.15
Fermi-level density of states (states/eV/cell): 2.8

=====

Entry 3:
The following is a PBE calculation of Hg2PdBrN after structural relaxation, from Alexandria via LeMat-Bulk.

Cell: 5.965 3.645 5.965 Å, 90.00 90.00 90.00°
Positions (direct):
Hg  0.500  0.000  0.000
Hg  0.000  0.000  0.500
N  0.000  0.500  0.000
Br  0.000  0.000  0.000
Pd  0.500  0.500  0.500

Values from the calculation:
Formation energy (no corrections) (eV/atom): 1.34
Fermi-level density of states (states/eV/cell): 4.8

=====

Entry 4:
The following is a PBE calculation of HgPtBrN2 after structural relaxation, from Alexandria via LeMat-Bulk.

Cell: 3.826 7.326 3.826 Å, 90.00 90.00 90.00°
Positions (direct):
Hg  0.000  0.500  0.000
Pt  0.500  0.500  0.500
Br  0.000  0.000  0.000
N  0.500  0.000  0.000
N  0.000  0.000  0.500

Values from the calculation:
Formation energy (no corrections) (eV/atom): 2.22
Fermi-level density of states (states/eV/cell): 3.7